Computed, not measured: crystalline LiCaBe2Au5 at its relaxed geometry at the PBE-GGA level of DFT.

Calculated values
Total magnetic moment, μB/f.u.: 0.000
Crystal system: tetragonal
ΔH_f (0 K), kcal/mol of atoms: -8.2

a = 4.603 Å, b = 4.603 Å, c = 7.244 Å
α = 90.00°, β = 90.00°, γ = 90.00°
Positions (direct):
Au (0.000, 0.500, 0.787)
Au (0.500, 0.500, 0.500)
Au (0.500, 0.000, 0.213)
Au (0.500, 0.000, 0.787)
Au (0.000, 0.500, 0.213)
Ca (0.000, 0.000, 0.500)
Be (0.500, 0.500, 0.161)
Be (0.500, 0.500, 0.839)
Li (0.000, 0.000, 0.000)

Computed, not measured: crystalline Tb4Nd10Dy at its relaxed geometry at the PBE-GGA level of DFT.

Calculated values
Total magnetic moment, μB/f.u.: 0.000
Crystal system: tetragonal
ΔH_f (0 K), kcal/mol of atoms: 16.0

a = 7.822 Å, b = 9.595 Å, c = 9.595 Å
α = 80.44°, β = 65.95°, γ = 65.95°
Positions (direct):
Tb (0.201, 0.400, 0.199)
Tb (0.601, 0.199, 0.600)
Tb (0.399, 0.801, 0.400)
Tb (0.799, 0.600, 0.801)
Nd (0.250, 0.500, 0.500)
Nd (0.651, 0.300, 0.899)
Nd (0.450, 0.899, 0.700)
Nd (0.349, 0.700, 0.101)
Nd (0.850, 0.700, 0.101)
Nd (0.951, 0.899, 0.700)
Nd (0.750, 0.500, 0.500)
Nd (0.150, 0.300, 0.899)
Nd (0.550, 0.101, 0.300)
Nd (0.049, 0.101, 0.300)
Dy (0.000, 0.000, 0.000)

- What is the formula in the first record?
  LiCaBe2Au5